First-principles (PBE with a Hubbard U) data for MoO2 after structural relaxation, as listed in the Alexandria database.

Structure (CIF):
```
data_MoO2
_chemical_formula_sum 'Mo8 O16'
_cell_length_a 10.627
_cell_length_b 10.627
_cell_length_c 3.271
_cell_angle_alpha 90.00
_cell_angle_beta 90.00
_cell_angle_gamma 90.00
_space_group_name_H-M_alt 'I 4/m'
_space_group_IT_number 87
_space_group_name_Hall '-I 4'
loop_
_atom_site_label
_atom_site_type_symbol
_atom_site_fract_x
_atom_site_fract_y
_atom_site_fract_z
Mo1 Mo 0.155 0.341 0.000
O1 O 0.031 0.337 0.500
O2 O 0.162 0.782 0.000
```

The calculated total energy comes out at -0.2692 Ha/atom.